The following is a PBE-GGA calculation of Ac3ZnGe5 after structural relaxation, from Alexandria.

Output
- density of states at the Fermi level (states/eV/atom) = 0.6451
- formation energy (eV/atom) = -0.358
- M_tot (μB per formula unit) = 0.00
- V (Å³/cell) = 469.0

```
data_Ac3ZnGe5
_chemical_formula_sum 'Ac6 Zn2 Ge10'
_cell_length_a 9.2625
_cell_length_b 9.2625
_cell_length_c 6.3117
_cell_angle_alpha 90.00
_cell_angle_beta 90.00
_cell_angle_gamma 120.00
_symmetry_space_group_name_H-M 'P 63/m c m'
_symmetry_Int_Tables_number 193
_symmetry_space_group_name_Hall '-P 6c 2'
loop_
_atom_site_label
_atom_site_type_symbol
_atom_site_fract_x
_atom_site_fract_y
_atom_site_fract_z
Ac1 Ac 0.0000 0.3760 0.2500
Zn1 Zn 0.0000 0.0000 0.0000
Ge1 Ge 0.0000 0.2666 0.7500
Ge2 Ge 0.3333 0.6667 0.0000
```